(1)
Compound: ErCuPd
Source: OQMD
Functional: GGA-PBE
Structure: optimized geometry Values from VASP.

Structure (Quantum ESPRESSO input):
```
&SYSTEM
  ibrav = 0, nat = 3, ntyp = 3
/
ATOMIC_SPECIES
Cu 63.55 Cu.upf
Er 167.26 Er.upf
Pd 106.42 Pd.upf
CELL_PARAMETERS angstrom
0.000 3.212 3.212
3.212 0.000 3.212
3.212 3.212 0.000
ATOMIC_POSITIONS crystal
Cu 0.250 0.250 0.250
Er 0.000 0.000 0.000
Pd 0.750 0.750 0.750
```

Calculated values
- energy relative to the lowest polymorph listed for this composition (meV per atom) = 355

(2)
Compound: ErCuPd
Source: OQMD
Functional: GGA-PBE
Structure: optimized geometry Values from VASP.

Structure (Quantum ESPRESSO input):
```
&SYSTEM
  ibrav = 0, nat = 3, ntyp = 3
/
ATOMIC_SPECIES
Cu 63.55 Cu.upf
Er 167.26 Er.upf
Pd 106.42 Pd.upf
CELL_PARAMETERS angstrom
2.243 1.295 3.663
-2.243 1.295 3.663
0.000 -2.590 3.663
ATOMIC_POSITIONS crystal
Cu 0.750 0.750 0.750
Er 0.250 0.250 0.250
Pd 0.000 0.000 0.000
```

Calculated values
- energy relative to the lowest polymorph listed for this composition (meV per atom) = 0

(3)
Compound: ErCuSi2Pd
Source: OQMD
Functional: GGA-PBE
Structure: optimized geometry Values from VASP.

Structure (Quantum ESPRESSO input):
```
&SYSTEM
  ibrav = 0, nat = 5, ntyp = 4
/
ATOMIC_SPECIES
Cu 63.55 Cu.upf
Er 167.26 Er.upf
Pd 106.42 Pd.upf
Si 28.09 Si.upf
CELL_PARAMETERS angstrom
-1.707 -5.466 -0.842
-0.255 -3.768 4.387
-1.711 5.381 -1.272
ATOMIC_POSITIONS crystal
Cu 0.000 0.000 0.000
Er 0.750 0.250 0.500
Pd 0.500 0.500 0.000
Si 0.135 0.635 0.500
Si 0.365 0.865 0.500
```

(4)
Compound: Er3Zn3CuPd2
Source: OQMD
Functional: GGA-PBE
Structure: optimized geometry Values from VASP.

Structure (Quantum ESPRESSO input):
```
&SYSTEM
  ibrav = 0, nat = 9, ntyp = 4
/
ATOMIC_SPECIES
Cu 63.55 Cu.upf
Er 167.26 Er.upf
Pd 106.42 Pd.upf
Zn 65.41 Zn.upf
CELL_PARAMETERS angstrom
-5.707 -4.396 -0.388
6.598 -2.736 1.017
-0.462 0.271 3.728
ATOMIC_POSITIONS crystal
Cu 0.000 0.000 0.000
Er 0.407 0.000 0.000
Er 0.000 0.407 0.000
Er 0.593 0.593 0.000
Pd 0.667 0.333 0.500
Pd 0.333 0.667 0.500
Zn 0.756 0.000 0.500
Zn 0.244 0.244 0.500
Zn 0.000 0.756 0.500
```

| no. | final energy (eV per atom) |
| --- | --- |
| 1 | -4.545 |
| 2 | -4.900 |
| 3 | -5.622 |
| 4 | -4.145 |